1.
Here is an optimized crystal structure of Zr2TlHg2 from Alexandria via LeMat-Bulk. Energies are from PBE.

As for the crystal system: triclinic. The calculation puts the total energy at -4.02 eV/atom. The calculation puts the theoretical density at 11.599 g/cm3.

It has space group P-1 (No. 2), with a = 4.3684 Å, b = 5.2666 Å, c = 5.8129 Å, α = 79.02°, β = 67.96° and γ = 65.62°. The inequivalent atoms are Zr at (0.1021, 0.0959, 0.1981), Tl at (0.5000, 0.5000, 0.0000) and Hg at (0.3046, 0.2919, 0.5995).


2.
Here is an optimized crystal structure of PmTlHg4 from Alexandria via LeMat-Bulk. Energies are from PBE.

As for the crystal system: orthorhombic. The calculation puts the total energy at -1.63 eV/atom. The calculation puts the theoretical density at 12.322 g/cm3.

It has space group Cmcm (No. 63), with a = 6.7083 Å, b = 18.0504 Å, c = 5.1274 Å, α = 90.00°, β = 90.00° and γ = 90.00°. The inequivalent atoms are Pm at (0.0000, 0.1244, 0.2500), Tl at (0.0000, 0.3814, 0.7500), Hg at (0.2352, 0.0429, 0.7500) and Hg at (0.2407, 0.2097, 0.7500).


3.
Here is an optimized crystal structure of Al4SeCl from Alexandria via LeMat-Bulk. Energies are from PBE.

As for the crystal system: cubic. The calculation puts the total energy at -3.23 eV/atom. The calculation puts the theoretical density at 2.984 g/cm3. The value obtained for the energy relative to the elements, uncorrected is 0.1544 eV per atom.

It has space group F-43m (No. 216), with a = 7.9101 Å, b = 7.9101 Å, c = 7.9101 Å, α = 90.00°, β = 90.00° and γ = 90.00°. The inequivalent atoms are Al at (0.1254, 0.1254, 0.1254), Se at (0.0000, 0.0000, 0.5000) and Cl at (0.2500, 0.2500, 0.7500).


4.
Here is an optimized crystal structure of ThBe2BRu2 from Alexandria via LeMat-Bulk. Energies are from PBE.

As for the crystal system: tetragonal. The calculation puts the total energy at -7.08 eV/atom. The calculation puts the theoretical density at 8.670 g/cm3.

It has space group P4/mmm (No. 123), with a = 4.1075 Å, b = 4.1075 Å, c = 5.2561 Å, α = 90.00°, β = 90.00° and γ = 90.00°. The inequivalent atoms are Th at (0.0000, 0.0000, 0.0000), Be at (0.5000, 0.5000, 0.2639), B at (0.0000, 0.0000, 0.5000) and Ru at (0.0000, 0.5000, 0.5000).


5.
Here is an optimized crystal structure of CuTcB from Alexandria via LeMat-Bulk. Energies are from PBE.

As for the crystal system: monoclinic. The calculation puts the total energy at -7.02 eV/atom. The calculation puts the theoretical density at 8.433 g/cm3.

It has space group Cm (No. 8), with a = 7.8669 Å, b = 2.9117 Å, c = 5.9289 Å, α = 90.00°, β = 91.60° and γ = 90.00°. The inequivalent atoms are Cu at (0.0000, 0.0000, 0.0000), Cu at (0.2177, 0.5000, 0.8416), Tc at (0.2864, 0.0000, 0.2422), Tc at (0.4985, 0.5000, 0.5464), B at (0.0654, 0.5000, 0.2715) and B at (0.2184, 0.5000, 0.5016).


6.
Here is an optimized crystal structure of BiAsSe2N from Alexandria via LeMat-Bulk. Energies are from PBE.

As for the crystal system: tetragonal. The calculation puts the total energy at -4.09 eV/atom. The calculation puts the theoretical density at 7.930 g/cm3. The value obtained for the energy relative to the elements, uncorrected is 0.6767 eV per atom.

It has space group P4/mmm (No. 123), with a = 4.6087 Å, b = 4.6087 Å, c = 4.4939 Å, α = 90.00°, β = 90.00° and γ = 90.00°. The inequivalent atoms are Bi at (0.0000, 0.0000, 0.0000), As at (0.5000, 0.5000, 0.0000), Se at (0.0000, 0.5000, 0.5000) and N at (0.5000, 0.5000, 0.5000).


7.
Here is an optimized crystal structure of AgP2Cl from Alexandria via LeMat-Bulk. Energies are from PBE.

As for the crystal system: tetragonal. The calculation puts the total energy at -3.08 eV/atom. The calculation puts the theoretical density at 3.512 g/cm3. The value obtained for the energy relative to the elements, uncorrected is 0.8012 eV per atom.

It has space group I-42d (No. 122), with a = 5.4480 Å, b = 5.4480 Å, c = 13.0801 Å, α = 90.00°, β = 90.00° and γ = 90.00°. The inequivalent atoms are Ag at (0.0000, 0.0000, 0.0000), P at (0.2094, 0.2500, 0.1250) and Cl at (0.0000, 0.0000, 0.5000).


8.
Here is an optimized crystal structure of Pm4Ho5In from Alexandria via LeMat-Bulk. Energies are from PBE.

As for the crystal system: tetragonal. The calculation puts the total energy at -4.38 eV/atom. The calculation puts the theoretical density at 7.587 g/cm3.

It has space group I4mm (No. 107), with a = 10.6978 Å, b = 10.6978 Å, c = 5.8119 Å, α = 90.00°, β = 90.00° and γ = 90.00°. The inequivalent atoms are Pm at (0.0000, 0.3116, 0.0000), Ho at (0.0000, 0.0000, 0.2097), Ho at (0.1846, 0.1846, 0.4980) and In at (0.0000, 0.0000, 0.7256).


9.
Here is an optimized crystal structure of Pm2TmP2N6 from Alexandria via LeMat-Bulk. Energies are from PBE.

As for the crystal system: trigonal. The calculation puts the total energy at -7.77 eV/atom. The calculation puts the theoretical density at 6.489 g/cm3. The value obtained for the energy relative to the elements, uncorrected is -0.9759 eV per atom.

It has space group R-3m (No. 166, hexagonal axes), with a = 5.5480 Å, b = 5.5480 Å, c = 17.4213 Å, α = 90.00°, β = 90.00° and γ = 120.00°. The inequivalent atoms are Pm at (0.0000, 0.0000, 0.2074), Tm at (0.0000, 0.0000, 0.0000), P at (0.0000, 0.0000, 0.4125) and N at (0.0057, 0.5028, 0.2408).


10.
Here is an optimized crystal structure of V2CoBr2 from Alexandria via LeMat-Bulk. Energies are from PBE.

As for the crystal system: tetragonal. The calculation puts the total energy at -4.94 eV/atom. The calculation puts the theoretical density at 6.654 g/cm3. The value obtained for the energy relative to the elements, uncorrected is 0.7969 eV per atom.

It has space group P4/mbm (No. 127), with a = 7.0868 Å, b = 7.0868 Å, c = 3.1861 Å, α = 90.00°, β = 90.00° and γ = 90.00°. The inequivalent atoms are V at (0.1529, 0.3471, 0.0000), Co at (0.0000, 0.0000, 0.5000) and Br at (0.1533, 0.6533, 0.5000).


11.
Here is an optimized crystal structure of BaLi2Ru from Alexandria via LeMat-Bulk. Energies are from PBE.

As for the crystal system: monoclinic. The calculation puts the total energy at -3.33 eV/atom. The calculation puts the theoretical density at 4.589 g/cm3.

It has space group C2/m (No. 12), with a = 10.1860 Å, b = 3.5848 Å, c = 5.2251 Å, α = 90.00°, β = 106.86° and γ = 90.00°. The inequivalent atoms are Ba at (0.0000, 0.0000, 0.0000), Li at (0.2064, 0.0000, 0.6473) and Ru at (0.0000, 0.5000, 0.5000).


12.
Here is an optimized crystal structure of Cs2LaPtF6 from Alexandria via LeMat-Bulk. Energies are from PBE.

As for the crystal system: tetragonal. The calculation puts the total energy at -5.02 eV/atom. The calculation puts the theoretical density at 5.067 g/cm3. The value obtained for the energy relative to the elements, uncorrected is -2.6298 eV per atom.

It has space group I4/mmm (No. 139), with a = 7.2715 Å, b = 7.2715 Å, c = 8.8485 Å, α = 90.00°, β = 90.00° and γ = 90.00°. The inequivalent atoms are Cs at (0.0000, 0.5000, 0.2500), La at (0.0000, 0.0000, 0.0000), Pt at (0.0000, 0.0000, 0.5000), F at (0.0000, 0.0000, 0.2675) and F at (0.2224, 0.2224, 0.0000).


13.
Here is an optimized crystal structure of MnAl2Re2 from Alexandria via LeMat-Bulk. Energies are from PBE.

As for the crystal system: tetragonal. The calculation puts the total energy at -8.16 eV/atom. The calculation puts the theoretical density at 10.979 g/cm3.

It has space group P4/mbm (No. 127), with a = 6.6355 Å, b = 6.6355 Å, c = 3.3069 Å, α = 90.00°, β = 90.00° and γ = 90.00°. The inequivalent atoms are Mn at (0.0000, 0.0000, 0.0000), Al at (0.1328, 0.3672, 0.0000) and Re at (0.1675, 0.6675, 0.5000).


14.
Here is an optimized crystal structure of RbSnTe3 from Alexandria via LeMat-Bulk. Energies are from PBE.

As for the crystal system: cubic. The calculation puts the total energy at -3.07 eV/atom. The calculation puts the theoretical density at 4.852 g/cm3. The value obtained for the energy relative to the elements, uncorrected is -0.1916 eV per atom.

It has space group Pm-3m (No. 221), with a = 5.8565 Å, b = 5.8565 Å, c = 5.8565 Å, α = 90.00°, β = 90.00° and γ = 90.00°. The inequivalent atoms are Rb at (0.0000, 0.0000, 0.0000), Sn at (0.5000, 0.5000, 0.5000) and Te at (0.0000, 0.5000, 0.5000).


15.
Here is an optimized crystal structure of Mg2Ag2Ir from Alexandria via LeMat-Bulk. Energies are from PBE.

As for the crystal system: tetragonal. The calculation puts the total energy at -3.46 eV/atom. The calculation puts the theoretical density at 8.635 g/cm3.

It has space group P4/mbm (No. 127), with a = 7.2990 Å, b = 7.2990 Å, c = 3.2959 Å, α = 90.00°, β = 90.00° and γ = 90.00°. The inequivalent atoms are Mg at (0.1741, 0.3259, 0.0000), Ag at (0.1310, 0.6310, 0.5000) and Ir at (0.0000, 0.0000, 0.5000).


16.
Here is an optimized crystal structure of PuMgHgBi from Alexandria via LeMat-Bulk. Energies are from PBE.

As for the crystal system: cubic. The calculation puts the total energy at -5.24 eV/atom. The calculation puts the theoretical density at 10.596 g/cm3.

It has space group F-43m (No. 216), with a = 7.5181 Å, b = 7.5181 Å, c = 7.5181 Å, α = 90.00°, β = 90.00° and γ = 90.00°. The inequivalent atoms are Pu at (0.0000, 0.0000, 0.0000), Mg at (0.0000, 0.0000, 0.5000), Hg at (0.2500, 0.2500, 0.2500) and Bi at (0.2500, 0.2500, 0.7500).


17.
Here is an optimized crystal structure of Re2Ag3 from Alexandria via LeMat-Bulk. Energies are from PBE.

As for the crystal system: trigonal. The calculation puts the total energy at -6.09 eV/atom. The calculation puts the theoretical density at 14.144 g/cm3.

It has space group R-3m (No. 166, hexagonal axes), with a = 2.7870 Å, b = 2.7870 Å, c = 36.4428 Å, α = 90.00°, β = 90.00° and γ = 120.00°. The inequivalent atoms are Re at (0.0000, 0.0000, 0.1004), Ag at (0.0000, 0.0000, 0.2992) and Ag at (0.0000, 0.0000, 0.5000).


18.
Here is an optimized crystal structure of Pr8NiSe3Br4 from Alexandria via LeMat-Bulk. Energies are from PBE.

As for the crystal system: monoclinic. The calculation puts the total energy at -5.15 eV/atom. The calculation puts the theoretical density at 6.246 g/cm3. The value obtained for the energy relative to the elements, uncorrected is -1.3282 eV per atom.

It has space group C2/m (No. 12), with a = 14.8320 Å, b = 8.5632 Å, c = 8.8122 Å, α = 90.00°, β = 124.13° and γ = 90.00°. The inequivalent atoms are Pr at (0.0084, 0.2339, 0.2909), Pr at (0.2248, 0.0000, 0.7082), Pr at (0.2378, 0.5000, 0.7139), Ni at (0.0000, 0.0000, 0.5000), Se at (0.0000, 0.5000, 0.5000), Se at (0.2500, 0.2500, 0.5000), Br at (0.0000, 0.0000, 0.0000), Br at (0.0000, 0.5000, 0.0000) and Br at (0.2500, 0.2500, 0.0000).


19.
Here is an optimized crystal structure of Al2SbPb from Alexandria via LeMat-Bulk. Energies are from PBE.

As for the crystal system: orthorhombic. The calculation puts the total energy at -3.65 eV/atom. The calculation puts the theoretical density at 6.683 g/cm3. The value obtained for the energy relative to the elements, uncorrected is 0.1810 eV per atom.

It has space group Cmm2 (No. 35), with a = 4.1706 Å, b = 4.8198 Å, c = 9.4661 Å, α = 90.00°, β = 90.00° and γ = 90.00°. The inequivalent atoms are Al at (0.0000, 0.0000, 0.0000), Al at (0.0000, 0.5000, 0.1867), Sb at (0.0000, 0.0000, 0.4234) and Pb at (0.0000, 0.5000, 0.7461).


20.
Here is an optimized crystal structure of HfCrCuS4 from Alexandria via LeMat-Bulk. Energies are from PBE.

As for the crystal system: orthorhombic. The calculation puts the total energy at -6.60 eV/atom. The calculation puts the theoretical density at 4.870 g/cm3. The value obtained for the energy relative to the elements, uncorrected is -0.8628 eV per atom.

It has space group Pnma (No. 62), with a = 11.6414 Å, b = 3.5024 Å, c = 14.1247 Å, α = 90.00°, β = 90.00° and γ = 90.00°. The inequivalent atoms are Hf at (0.1680, 0.2500, 0.1358), Cr at (0.1104, 0.2500, 0.5495), Cu at (0.0851, 0.7500, 0.9757), S at (0.0072, 0.7500, 0.1291), S at (0.0121, 0.2500, 0.4037), S at (0.2083, 0.2500, 0.7057) and S at (0.2486, 0.7500, 0.4810).


21.
Here is an optimized crystal structure of PuTc2Ge3 from Alexandria via LeMat-Bulk. Energies are from PBE.

As for the crystal system: orthorhombic. The calculation puts the total energy at -8.32 eV/atom. The calculation puts the theoretical density at 10.164 g/cm3.

It has space group Cmcm (No. 63), with a = 9.5175 Å, b = 7.8115 Å, c = 5.7831 Å, α = 90.00°, β = 90.00° and γ = 90.00°. The inequivalent atoms are Pu at (0.0000, 0.1329, 0.2500), Tc at (0.2140, 0.5000, 0.0000), Ge at (0.0000, 0.4980, 0.2500) and Ge at (0.1598, 0.2180, 0.7500).


22.
Here is an optimized crystal structure of BeAl2CuAu5 from Alexandria via LeMat-Bulk. Energies are from PBE.

As for the crystal system: orthorhombic. The calculation puts the total energy at -3.55 eV/atom. The calculation puts the theoretical density at 11.295 g/cm3.

It has space group Immm (No. 71), with a = 4.3779 Å, b = 5.5573 Å, c = 13.4310 Å, α = 90.00°, β = 90.00° and γ = 90.00°. The inequivalent atoms are Be at (0.0000, 0.0000, 0.0000), Al at (0.0000, 0.5000, 0.3035), Cu at (0.0000, 0.0000, 0.5000), Au at (0.0000, 0.2571, 0.1372) and Au at (0.0000, 0.5000, 0.5000).


23.
Here is an optimized crystal structure of ScAl2Sb from Alexandria via LeMat-Bulk. Energies are from PBE.

As for the crystal system: cubic. The calculation puts the total energy at -4.51 eV/atom. The calculation puts the theoretical density at 4.291 g/cm3. The value obtained for the energy relative to the elements, uncorrected is -0.0285 eV per atom.

It has space group F-43m (No. 216), with a = 6.9904 Å, b = 6.9904 Å, c = 6.9904 Å, α = 90.00°, β = 90.00° and γ = 90.00°. The inequivalent atoms are Sc at (0.0000, 0.0000, 0.0000), Al at (0.0000, 0.0000, 0.5000), Al at (0.2500, 0.2500, 0.7500) and Sb at (0.2500, 0.2500, 0.2500).


| no. | total magnetic moment (μB per formula unit) |
| --- | --- |
| 1 | 0.00 |
| 2 | 0.00 |
| 3 | 0.00 |
| 4 | 0.00 |
| 5 | 0.00 |
| 6 | 0.00 |
| 7 | 0.00 |
| 8 | 0.00 |
| 9 | 1.01 |
| 10 | 4.72 |
| 11 | 0.55 |
| 12 | 1.00 |
| 13 | 3.72 |
| 14 | 0.00 |
| 15 | 0.00 |
| 16 | 5.79 |
| 17 | 0.57 |
| 18 | 0.00 |
| 19 | 0.00 |
| 20 | 3.00 |
| 21 | 4.99 |
| 22 | 0.00 |
| 23 | 0.00 |